No. 1
Density functional theory data (PBEsol) for a geometry-optimized Tl2ReSi structure.

Properties
Its uncorrected formation energy is 24.04 kcal/mol of atoms. Its symmetry is P2/m.

a b c (Å): 2.8952 5.1090 5.3227
angles (deg): 102.21 90.00 90.00
Fractional positions:
Re1 0.5000 0.5000 0.0000
Si1 0.0000 0.5000 0.5000
Tl1 0.0000 0.0000 0.0000
Tl2 0.5000 0.0000 0.5000

---

No. 2
Density functional theory data (PBEsol) for a geometry-optimized ZnIn2Cl structure.

Properties
Its uncorrected formation energy is -5.61 kcal/mol of atoms. Its symmetry is Pmm2.

a b c (Å): 3.2442 4.9667 5.6292
angles (deg): 90.00 90.00 90.00
Fractional positions:
Zn1 0.3734 0.5000 0.0000
Cl1 0.8755 0.0000 0.5000
In1 0.8746 0.0000 0.0000
In2 0.3764 0.5000 0.5000

---

No. 3
Density functional theory data (PBEsol) for a geometry-optimized CaZr2Co structure.

Properties
Its symmetry is P4mm. The calculated formation energy comes out at 0.044 eV per atom.

a b c (Å): 3.2226 3.2226 8.1069
angles (deg): 90.00 90.00 90.00
Site moments in Bohr magnetons follow the coordinates.
Fractional positions:
Ca1 0.0000 0.0000 0.5517  0.00
Co1 0.5000 0.5000 0.7945  0.09
Zr1 0.0000 0.0000 0.9487  -0.01
Zr2 0.5000 0.5000 0.2052  0.01

---

No. 4
Density functional theory data (PBEsol) for a geometry-optimized Cr5Se structure.

Properties
Its uncorrected formation energy is 2.87 kcal/mol of atoms. Its symmetry is C2/m.

a b c (Å): 2.9291 4.6960 5.6168
angles (deg): 107.72 90.00 108.17
Fractional positions:
Cr1 0.6678 0.3357 0.8318
Cr2 0.0000 0.0000 0.5000
Cr3 0.3322 0.6643 0.1682
Cr4 0.3299 0.6598 0.6596
Cr5 0.6701 0.3402 0.3404
Se1 0.0000 0.0000 0.0000

---

No. 5
Density functional theory data (PBEsol) for a geometry-optimized Cu2PPt structure.

Properties
Its symmetry is P2/m. The calculated formation energy comes out at -0.066 eV per atom.

a b c (Å): 2.7892 3.8048 4.8874
angles (deg): 90.00 99.02 90.00
Fractional positions:
Cu1 0.1187 0.0000 0.7658
Cu2 0.8813 0.0000 0.2342
P1 0.5000 0.5000 0.0000
Pt1 0.5000 0.5000 0.5000

---

No. 6
Density functional theory data (PBEsol) for a geometry-optimized Hg5Au3 structure.

Properties
Its symmetry is P6_3/mcm. The calculated formation energy comes out at 0.057 eV per atom.

a b c (Å): 6.0585 7.9295 7.9295
angles (deg): 120.00 90.00 90.00
Fractional positions:
Au1 0.2500 0.0000 0.4045
Au2 0.7500 0.0000 0.5955
Au3 0.2500 0.5955 0.5955
Au4 0.7500 0.5955 0.0000
Au5 0.7500 0.4045 0.4045
Au6 0.2500 0.4045 0.0000
Hg1 0.7500 0.0000 0.2253
Hg2 0.2500 0.0000 0.7747
Hg3 0.7500 0.7747 0.7747
Hg4 0.2500 0.7747 0.0000
Hg5 0.0000 0.6667 0.3333
Hg6 0.5000 0.6667 0.3333
Hg7 0.0000 0.3333 0.6667
Hg8 0.5000 0.3333 0.6667
Hg9 0.2500 0.2253 0.2253
Hg10 0.7500 0.2253 0.0000

---

No. 7
Density functional theory data (PBEsol) for a geometry-optimized Sc2SiPb structure.

Properties
Its uncorrected formation energy is -9.18 kcal/mol of atoms. Its symmetry is P4/mmm.

a b c (Å): 4.0773 4.4532 4.4532
angles (deg): 90.00 90.00 90.00
Fractional positions:
Pb1 0.5000 0.0000 0.0000
Sc1 0.0000 0.0000 0.5000
Sc2 0.0000 0.5000 0.0000
Si1 0.5000 0.5000 0.5000

---

No. 8
Density functional theory data (PBEsol) for a geometry-optimized Te2AsP structure.

Properties
Its uncorrected formation energy is 12.40 kcal/mol of atoms. Its symmetry is F-43m.

a b c (Å): 4.9638 4.9638 4.9638
angles (deg): 60.00 60.00 60.00
Fractional positions:
P1 0.2500 0.2500 0.2500
As1 0.5000 0.5000 0.5000
Te1 0.0000 0.0000 0.0000
Te2 0.7500 0.7500 0.7500

---

| no. | DFT total energy (eV per cell) | calculated density (Mg/m³) | size of the total moment (μB per atom) |
| --- | --- | --- | --- |
| 1 | -20.17 | 13.44 | 0.0002 |
| 2 | -10.53 | 6.05 | 0.0000 |
| 3 | -27.88 | 5.55 | 0.0197 |
| 4 | -54.31 | 8.09 | 0.0001 |
| 5 | -21.69 | 11.45 | 0.0000 |
| 6 | -28.30 | 16.04 | 0.0000 |
| 7 | -24.55 | 6.68 | 0.0001 |
| 8 | -15.80 | 6.93 | 0.0000 |